# Li2V3P4H4O16 meta-GGA SCAN PBEsol geometry
data_Li2V3P4H4O16
_space_group_name_H-M_alt 'P 1 21/c 1'
_space_group_IT_number 14
_cell_length_a 9.007
_cell_length_b 8.118
_cell_length_c 8.837
_cell_angle_alpha 90.00
_cell_angle_beta 97.08
_cell_angle_gamma 90.00
loop_
_space_group_symop_operation_xyz
'x,y,z'
'-x,-y,-z'
'-x,y+1/2,-z+1/2'
'x,-y+1/2,z+1/2'
loop_
_atom_site_label
_atom_site_fract_x
_atom_site_fract_y
_atom_site_fract_z
_atom_site_occupancy
Li1 0.088 0.126 0.081 1
V1 0.359 0.137 0.501 1
V2 0.500 0.000 0.000 1
P1 0.187 0.061 0.781 1
P2 0.390 0.702 0.210 1
H1 0.124 0.522 0.820 1
H2 0.278 0.530 0.746 1
O1 0.044 0.049 0.855 1
O2 0.170 0.151 0.627 1
O3 0.218 0.038 0.317 1
O4 0.231 0.630 0.248 1
O5 0.316 0.129 0.895 1
O6 0.357 0.630 0.638 1
O7 0.449 0.577 0.103 1
O8 0.493 0.710 0.361 1
# energy = -9.533 eV per atom
# crystal system = monoclinic